A PBEsol-optimized structure of HgGeSb2Te, computed with meta-GGA SCAN.

POSCAR file:
```
HgGeSb2Te
1.0
5.302 0.000 0.000
0.000 5.302 0.000
0.000 0.000 5.383
Hg Ge Sb Te
1 1 2 1
Cartesian
0.000 0.000 0.000 Hg
2.651 2.651 2.691 Ge
0.000 2.651 2.691 Sb
2.651 0.000 2.691 Sb
2.651 2.651 0.000 Te
```

Summary:
Space group: P4/mmm (123)
Formation energy from raw total energies in eV per atom: 0.585

---

A PBEsol-optimized structure of La2Zr, computed with meta-GGA SCAN.

POSCAR file:
```
La2Zr
1.0
5.532 0.000 0.000
-2.766 4.791 0.000
0.000 0.000 3.225
La Zr
2 1
Cartesian
0.000 3.194 0.000 La
2.766 1.597 0.000 La
0.000 0.000 1.613 Zr
```

Summary:
Space group: P6/mmm (191)
Energy of formation in eV/atom: 0.187